Model A:
Material: TcH2
Method: DFT, GGA-PBE
State: optimized geometry

Lattice parameters (Å, degrees): 2.8901 2.8901 17.7291 90.00 90.00 120.00
With the nearest neighbours (Å) after each atom.
Element x y z (fractional)
Tc1 0.0000 0.0000 0.8185  7 H 1.86-1.91
Tc2 0.3333 0.6667 0.4852  7 H 1.86-1.91
Tc3 0.6667 0.3333 0.1519  7 H 1.86-1.91
Tc4 0.0000 0.0000 0.0277  4 H 1.83-1.88
Tc5 0.3333 0.6667 0.6944  4 H 1.83-1.88
Tc6 0.6667 0.3333 0.3611  4 H 1.83-1.88
H1 0.0000 0.0000 0.4325  6 Tc 1.91-2.09, 1 H 2.13
H2 0.3333 0.6667 0.0991  6 Tc 1.91-2.09, 1 H 2.13
H3 0.6667 0.3333 0.7658  6 Tc 1.91-2.09, 1 H 2.13
H4 0.0000 0.0000 0.1982  3 Tc 1.86, 4 H 1.98-2.03
H5 0.3333 0.6667 0.8649  3 Tc 1.86, 4 H 1.98-2.03
H6 0.6667 0.3333 0.5316  3 Tc 1.86, 4 H 1.98-2.03
H7 0.0000 0.0000 0.9247  2 Tc 1.83-1.88, 6 H 1.93-1.98
H8 0.3333 0.6667 0.5914  2 Tc 1.83-1.88, 6 H 1.93-1.98
H9 0.6667 0.3333 0.2580  2 Tc 1.83-1.88, 6 H 1.93-1.98
H10 0.0000 0.0000 0.3125  3 Tc 1.88, 4 H 1.93-2.03
H11 0.3333 0.6667 0.9792  3 Tc 1.88, 4 H 1.93-2.03
H12 0.6667 0.3333 0.6459  3 Tc 1.88, 4 H 1.93-2.03

Values from the calculation:
SG: R3m (160)

=====

Model B:
Material: TcH2
Method: DFT, GGA-PBE
State: optimized geometry

Lattice parameters (Å, degrees): 4.1428 2.8317 4.1730 90.00 117.52 90.00
With the nearest neighbours (Å) after each atom.
Element x y z (fractional)
Tc1 0.3316 0.2500 0.6695  6 H 1.83-1.93
Tc2 0.6684 0.7500 0.3305  6 H 1.83-1.93
H1 0.8928 0.2500 0.6761  3 Tc 1.83-1.93, 1 H 1.85
H2 0.1073 0.7500 0.3239  3 Tc 1.83-1.93, 1 H 1.85
H3 0.3223 0.2500 0.1031  3 Tc 1.83-1.92, 1 H 1.85
H4 0.6777 0.7500 0.8969  3 Tc 1.83-1.92, 1 H 1.85

Values from the calculation:
SG: P2_1/m (11)

=====

Computed relative energies in units of kJ/mol of atoms: model A 0.0; model B 4.3

=====

Model A:
Material: Tc3H
Method: DFT, GGA-PBE
State: optimized geometry

Lattice parameters (Å, degrees): 2.7298 2.7220 6.5097 90.00 90.00 90.00
With the nearest neighbours (Å) after each atom.
Element x y z (fractional)
H1 0.0000 0.0000 0.9742  6 Tc 1.96-2.17
Tc1 0.0000 0.5000 0.4737  10 Tc 2.63-2.73
Tc2 0.5000 0.5000 0.1281  4 H 2.17
Tc3 0.5000 0.0000 0.7573  2 H 1.96

Values from the calculation:
SG: Pmm2 (25)

=====

Model B:
Material: Tc3H
Method: DFT, GGA-PBE
State: optimized geometry

Lattice parameters (Å, degrees): 4.1712 4.1712 4.1712 60.00 60.00 60.00
With the nearest neighbours (Å) after each atom.
Element x y z (fractional)
Tc1 0.2500 0.2500 0.2500  4 H 2.55, 4 Tc 2.55
Tc2 0.7500 0.7500 0.7500  4 H 2.55, 4 Tc 2.55
Tc3 0.5000 0.5000 0.5000  8 Tc 2.55
H1 0.0000 0.0000 0.0000  8 Tc 2.55

Values from the calculation:
SG: Fm-3m (225)

=====

Computed relative energies in units of kJ/mol of atoms: model A 0.0; model B 32.6

=====

Model A:
Material: Tc2H
Method: DFT, GGA-PBE
State: optimized geometry

Lattice parameters (Å, degrees): 4.9147 5.2673 5.2673 114.94 90.00 90.00
With the nearest neighbours (Å) after each atom.
Element x y z (fractional)
Tc1 0.3333 0.1269 0.3732  3 H 1.97-1.99
Tc2 0.8333 0.8731 0.1268  3 H 1.97-1.99
Tc3 0.6667 0.8731 0.6268  3 H 1.97-1.99
Tc4 0.1667 0.1269 0.8732  3 H 1.97-1.99
Tc5 0.8334 0.3732 0.6269  3 H 1.97-1.99
Tc6 0.3334 0.6268 0.8731  3 H 1.97-1.99
Tc7 0.1666 0.6268 0.3731  3 H 1.97-1.99
Tc8 0.6666 0.3732 0.1269  3 H 1.97-1.99
H1 0.5002 0.2499 0.7501  6 Tc 1.97-1.99
H2 0.0002 0.7501 0.7499  6 Tc 1.97-1.99
H3 0.4998 0.7501 0.2499  6 Tc 1.97-1.99
H4 0.9998 0.2499 0.2501  6 Tc 1.97-1.99

Values from the calculation:
SG: Pnnm (58)

=====

Model B:
Material: Tc2H
Method: DFT, GGA-PBE
State: optimized geometry

Lattice parameters (Å, degrees): 2.8098 2.8098 5.3840 118.67 118.67 84.58
With the nearest neighbours (Å) after each atom.
Element x y z (fractional)
H1 0.5000 0.5000 0.0000  2 Tc 1.83
Tc1 0.0796 0.0796 0.2833  1 H 1.83
Tc2 0.9204 0.9204 0.7167  1 H 1.83

Values from the calculation:
SG: C2/m (12)

=====

Computed relative energies in units of kJ/mol of atoms: model A 0.0; model B 24.0